Crystalline Rb2PmCo2O7 at its relaxed geometry. Source: Alexandria via LeMat-Bulk, functional PBE with a Hubbard U.

Computed properties:
For the volume, the calculation gives 332.09 Å³/cell. Its total magnetic moment is 0.42 μB/atom. The calculated total energy comes out at -5.729 eV per atom.

Geometry as CIF:
```
data_Rb2PmCo2O7
_chemical_formula_sum 'Rb4 Pm2 Co4 O14'
_symmetry_space_group_name_H-M 'I 4/m m m'
_symmetry_Int_Tables_number 139
_symmetry_space_group_name_Hall '-I 4 2'
_cell_length_a 3.9575
_cell_length_b 3.9575
_cell_length_c 21.2037
_cell_angle_alpha 90.00
_cell_angle_beta 90.00
_cell_angle_gamma 90.00
loop_
_atom_site_label
_atom_site_type_symbol
_atom_site_fract_x
_atom_site_fract_y
_atom_site_fract_z
Rb1 Rb 0.0000 0.0000 0.1818
Pm1 Pm 0.0000 0.0000 0.0000
Co1 Co 0.0000 0.0000 0.4102
O1 O 0.0000 0.0000 0.3301
O2 O 0.0000 0.0000 0.5000
O3 O 0.0000 0.5000 0.0754
```